No. 1
The following is a PBE-GGA calculation of a geometry-optimized K2AlAs structure, from Alexandria.

abc: 5.701 5.701 5.701
angles: 125.23 125.23 81.15
Atoms (fractional coordinates):
K: 0.000 0.000 0.000
Al: 0.500 0.500 0.000
As: 0.750 0.250 0.500
K: 0.250 0.750 0.500

Calculated values
- Calculated density: 2.5 Mg/m³
- E_form: 97.0 meV/atom
- E: -2.55 eV per atom
- Size of the total moment: 0.0 μB per formula unit
- Space group: I-4m2, No. 119

=====

No. 2
The following is a PBE-GGA calculation of a geometry-optimized Co2ReRu structure, from Alexandria.

abc: 4.516 4.516 4.516
angles: 131.82 131.81 70.52
Site moments in Bohr magnetons follow the coordinates.
Atoms (fractional coordinates):
Ru: 0.250 0.750 0.500  0.08
Co: 0.750 0.250 0.500  0.62
Re: 0.500 0.500 0.000  -0.06
Co: 0.000 0.000 0.000  1.05

Calculated values
- Calculated density: 13.4 Mg/m³
- E_form: 58.3 meV/atom
- E: -8.93 eV per atom
- Size of the total moment: 1.7 μB per formula unit
- Space group: I-4m2, No. 119